## Ce3TmCo (PBE)

Data for Ce3TmCo after structural relaxation.

Properties
- Total magnetization: 2.1 μB/f.u.
- Space-group type: Pm-3m
- Energy: -28.93 eV per formula unit

abc: 5.2264 5.2264 5.2264
angles: 90.00 90.00 90.00
Closest atoms and distances in Å follow each position.
Element x y z (fractional)
Ce: 0.0000 0.5000 0.0000  2 Co 2.61
Ce: 0.5000 0.0000 0.0000  2 Co 2.61
Ce: 0.0000 0.0000 0.5000  2 Co 2.61
Co: 0.0000 0.0000 0.0000  6 Ce 2.61
Tm: 0.5000 0.5000 0.5000  12 Ce 3.70

## CeTmCo (PBE)

Data for CeTmCo after structural relaxation.

Properties
- Total magnetization: 0.7 μB/f.u.
- Energy above the lowest structure with this stoichiometry: 0.24 eV per formula unit
- Space-group type: I4mm

abc: 3.3274 3.3274 6.6174
angles: 104.56 104.56 90.00
Closest atoms and distances in Å follow each position.
Element x y z (fractional)
Tm: 0.0361 0.0361 0.0722  4 Co 2.87, 1 Ce 3.20
Ce: 0.2949 0.2949 0.5898  4 Co 2.82
Co: 0.6690 0.6690 0.3379  4 Ce 2.82, 4 Tm 2.87

## Ce2Tm3Co4 (PBE)

Data for Ce2Tm3Co4 after structural relaxation.

Properties
- Total magnetization: 0.0 μB/f.u.
- Space-group type: C2/m
- Energy: -55.37 eV per formula unit

abc: 3.7231 5.9538 8.7767
angles: 103.50 102.25 90.00
Closest atoms and distances in Å follow each position.
Element x y z (fractional)
Tm: 0.0000 0.0000 0.0000  4 Co 2.64
Tm: 0.8894 0.4235 0.7787  7 Co 2.78-3.08
Tm: 0.1106 0.5765 0.2213  7 Co 2.78-3.08
Ce: 0.3220 0.8699 0.6439  2 Co 2.46
Ce: 0.6780 0.1301 0.3561  2 Co 2.46
Co: 0.5056 0.3188 0.0112  1 Co 2.21
Co: 0.4944 0.6812 0.9888  1 Co 2.21
Co: 0.7460 0.6509 0.4920  2 Ce 2.46, 2 Co 2.61
Co: 0.2540 0.3491 0.5080  2 Ce 2.46, 2 Co 2.61

## CeTm3Co (PBE)

Data for CeTm3Co after structural relaxation.

Properties
- Total magnetization: 1.4 μB/f.u.
- Space-group type: Pm-3m
- Energy: -26.40 eV per formula unit

abc: 5.2103 5.2103 5.2103
angles: 90.00 90.00 90.00
Closest atoms and distances in Å follow each position.
Element x y z (fractional)
Tm: 0.0000 0.0000 0.5000  2 Co 2.61
Tm: 0.0000 0.5000 0.0000  2 Co 2.61
Tm: 0.5000 0.0000 0.0000  2 Co 2.61
Co: 0.0000 0.0000 0.0000  6 Tm 2.61
Ce: 0.5000 0.5000 0.5000  12 Tm 3.68

## CeTm6Co3 (PBE)

Data for CeTm6Co3 after structural relaxation.

Properties
- Total magnetization: 0.8 μB/f.u.
- Space-group type: Cmc2_1
- Energy: -54.98 eV per formula unit

abc: 6.9958 8.3500 8.3500
angles: 98.04 90.00 90.00
Closest atoms and distances in Å follow each position.
Element x y z (fractional)
Co: 0.5084 0.0076 0.7673  1 Co 2.47, 1 Tm 2.64
Co: 0.0084 0.7673 0.0076  1 Co 2.47, 1 Tm 2.64
Co: 0.2588 0.4639 0.5361  1 Ce 2.22
Co: 0.5084 0.2327 0.9924  1 Co 2.47, 1 Tm 2.64
Co: 0.0084 0.9924 0.2327  1 Co 2.47, 1 Tm 2.64
Co: 0.7588 0.5361 0.4639  1 Ce 2.22
Tm: 0.5402 0.3159 0.6841  3 Co 2.71-2.77
Tm: 0.6449 0.2317 0.2877  2 Co 2.64-2.87
Tm: 0.1449 0.7683 0.7123  2 Co 2.64-2.87
Tm: 0.2682 0.0383 0.4850  2 Co 2.77-2.94
Tm: 0.8543 0.0695 0.9305  4 Co 2.79-2.90
Tm: 0.3543 0.9305 0.0695  4 Co 2.79-2.90
Tm: 0.0402 0.6841 0.3159  3 Co 2.71-2.77
Tm: 0.2682 0.5150 0.9617  2 Co 2.77-2.94
Tm: 0.7682 0.4850 0.0383  2 Co 2.77-2.94
Tm: 0.1449 0.2877 0.2317  2 Co 2.64-2.87
Tm: 0.6449 0.7123 0.7683  2 Co 2.64-2.87
Tm: 0.7682 0.9617 0.5150  2 Co 2.77-2.94
Ce: 0.4891 0.6292 0.3708  1 Co 2.22
Ce: 0.9891 0.3708 0.6292  1 Co 2.22

## Ce2TmCo9 (PBE)

Data for Ce2TmCo9 after structural relaxation.

Properties
- Total magnetization: 8.0 μB/f.u.
- Space-group type: R-3m
- Energy: -82.68 eV per formula unit

abc: 4.8877 4.8877 8.7428
angles: 73.77 73.77 60.00
Closest atoms and distances in Å follow each position.
Element x y z (fractional)
Co: 0.5000 0.5000 0.5000  6 Co 2.58
Co: 0.9183 0.4216 0.2385  7 Co 2.42-2.58
Co: 0.4216 0.4216 0.2385  7 Co 2.42-2.58
Co: 0.5784 0.5784 0.7615  7 Co 2.42-2.58
Co: 0.4216 0.9183 0.2385  7 Co 2.42-2.58
Co: 0.3326 0.3326 0.0023  6 Co 2.42-2.44
Co: 0.6674 0.6674 0.9977  6 Co 2.42-2.44
Co: 0.0817 0.5784 0.7615  7 Co 2.42-2.58
Co: 0.5784 0.0817 0.7615  7 Co 2.42-2.58
Ce: 0.1396 0.1396 0.5812  12 Co 2.86-3.17, 3 Ce 3.13
Ce: 0.8604 0.8604 0.4188  12 Co 2.86-3.17, 3 Ce 3.13
Tm: 0.0000 0.0000 0.0000  18 Co 2.82-3.14

## Ce2TmCo (PBE)

Data for Ce2TmCo after structural relaxation.

Properties
- Total magnetization: 0.0 μB/f.u.
- Energy above the lowest structure with this stoichiometry: 0.59 eV per formula unit
- Space-group type: P4/mmm

abc: 3.5431 3.5431 7.6527
angles: 90.00 90.00 90.00
Closest atoms and distances in Å follow each position.
Element x y z (fractional)
Tm: 0.5000 0.5000 0.5000  8 Ce 3.47, 4 Tm 3.54, 2 Co 3.83
Ce: 0.0000 0.0000 0.8147  1 Ce 2.84, 4 Co 2.88
Ce: 0.0000 0.0000 0.1853  1 Ce 2.84, 4 Co 2.88
Co: 0.5000 0.5000 0.0000  8 Ce 2.88

## CeTmCo2 (PBE)

Data for CeTmCo2 after structural relaxation.

Properties
- Total magnetization: 0.0 μB/f.u.
- Space-group type: R-3m
- Energy: -24.74 eV per formula unit

abc: 3.6920 3.6920 6.9431
angles: 74.58 74.58 60.00
Closest atoms and distances in Å follow each position.
Element x y z (fractional)
Ce: 0.5000 0.5000 0.5000  6 Co 2.63
Co: 0.2443 0.2443 0.2670  3 Ce 2.63, 3 Tm 2.77
Co: 0.7557 0.7557 0.7330  3 Ce 2.63, 3 Tm 2.77
Tm: 0.0000 0.0000 0.0000  6 Co 2.77

Number 1: density of states at the Fermi level 15.96 states/eV/cell. Number 2: density of states at the Fermi level 6.36 states/eV/cell. Number 3: density of states at the Fermi level 10.70 states/eV/cell. Number 4: density of states at the Fermi level 11.40 states/eV/cell. Number 5: density of states at the Fermi level 23.87 states/eV/cell. Number 6: density of states at the Fermi level 15.26 states/eV/cell. Number 7: density of states at the Fermi level 8.81 states/eV/cell. Number 8: density of states at the Fermi level 3.49 states/eV/cell.